[1]
NaSbMo3 at its PBEsol-relaxed geometry. Source: Alexandria via LeMat-Bulk, functional SCAN. Values from VASP.

```
&SYSTEM
  ibrav = 0, nat = 5, ntyp = 3
/
ATOMIC_SPECIES
Na 22.99 Na.upf
Mo 95.94 Mo.upf
Sb 121.76 Sb.upf
CELL_PARAMETERS angstrom
4.537 0.000 0.000
0.000 4.537 0.000
0.000 0.000 4.537
ATOMIC_POSITIONS crystal
Na 0.000 0.000 0.000
Mo 0.000 0.000 0.500
Mo 0.000 0.500 0.000
Mo 0.500 0.000 0.000
Sb 0.500 0.500 0.500
```

Results
* formation energy (no corrections): 2.418 eV/atom
* symmetry: Pm-3m (221)


[2]
Dy2CuW4O16 at its PBEsol-relaxed geometry. Source: Alexandria via LeMat-Bulk, functional SCAN. Values from VASP.

```
&SYSTEM
  ibrav = 0, nat = 46, ntyp = 4
/
ATOMIC_SPECIES
Dy 162.50 Dy.upf
O 16.00 O.upf
W 183.84 W.upf
Cu 63.55 Cu.upf
CELL_PARAMETERS angstrom
-3.348 -2.364 3.811
5.198 -7.510 -4.200
5.852 4.688 8.050
ATOMIC_POSITIONS crystal
Dy 0.825 0.303 0.959
Dy 0.522 0.697 0.541
Dy 0.478 0.303 0.459
Dy 0.175 0.697 0.041
O 0.930 0.507 0.260
O 0.577 0.507 0.760
O 0.423 0.493 0.240
O 0.046 0.260 0.101
O 0.215 0.465 0.949
O 0.288 0.763 0.422
O 0.369 0.972 0.122
O 0.110 0.980 0.591
O 0.712 0.237 0.578
O 0.750 0.535 0.551
O 0.766 0.787 0.727
O 0.785 0.535 0.051
O 0.214 0.260 0.601
O 0.250 0.465 0.449
O 0.979 0.213 0.773
O 0.890 0.020 0.409
O 0.474 0.763 0.922
O 0.218 0.741 0.676
O 0.021 0.787 0.227
O 0.603 0.972 0.622
O 0.870 0.980 0.091
O 0.631 0.028 0.878
O 0.070 0.493 0.740
O 0.523 0.741 0.176
O 0.782 0.259 0.324
O 0.397 0.028 0.378
O 0.526 0.237 0.078
O 0.954 0.740 0.899
O 0.477 0.259 0.824
O 0.234 0.213 0.273
O 0.786 0.740 0.399
O 0.130 0.020 0.909
W 0.138 0.890 0.409
W 0.751 0.890 0.909
W 0.685 0.626 0.213
W 0.862 0.110 0.591
W 0.249 0.110 0.091
W 0.059 0.374 0.287
W 0.941 0.626 0.713
W 0.315 0.374 0.787
Cu 0.652 0.000 0.250
Cu 0.348 0.000 0.750
```

Results
* formation energy (no corrections): -2.543 eV/atom
* symmetry: C2/c (15)


[3]
CaLa3 at its PBEsol-relaxed geometry. Source: Alexandria via LeMat-Bulk, functional SCAN. Values from VASP.

```
&SYSTEM
  ibrav = 0, nat = 8, ntyp = 2
/
ATOMIC_SPECIES
La 138.91 La.upf
Ca 40.08 Ca.upf
CELL_PARAMETERS angstrom
-1.721 4.814 2.882
-4.922 0.728 -4.156
-4.351 -4.199 4.417
ATOMIC_POSITIONS crystal
La 0.500 0.157 0.254
La 0.500 0.683 0.000
La 0.500 0.157 0.746
La 0.000 0.317 0.500
La 0.000 0.843 0.754
La 0.000 0.843 0.246
Ca 0.500 0.657 0.500
Ca 0.000 0.343 0.000
```

Results
* formation enthalpy at 0 K: 0.080 eV per atom
* symmetry: Pmmn (59)